Record 1
The following is a PBE calculation of a relaxed structure of LaTbPu2, from Alexandria.

Offset from the most stable computed form   0.008 eV/atom
Density   10.84 g/cm3
ΔE_f   0.2111 eV per atom

Lattice parameters (Å, degrees): 4.9212 4.9212 4.9704 90.00 90.00 90.00
With the nearest neighbours (Å) after each atom.
Element x y z (fractional)
1 La 0.0000 0.0000 0.0000  4 Tb 3.48, 8 Pu 3.50
2 Tb 0.5000 0.5000 0.0000  4 La 3.48, 8 Pu 3.50
3 Pu 0.0000 0.5000 0.5000  4 Pu 3.48, 4 Tb 3.50, 4 La 3.50
4 Pu 0.5000 0.0000 0.5000  4 Pu 3.48, 4 Tb 3.50, 4 La 3.50

***

Record 2
The following is a PBE calculation of a relaxed structure of La4Tb8Pu, from Alexandria.

Density   7.22 g/cm3
ΔE_f   0.5522 eV per atom

Lattice parameters (Å, degrees): 7.8080 7.8080 7.8080 90.23 90.23 90.23
With the nearest neighbours (Å) after each atom.
Element x y z (fractional)
1 La 0.0000 0.0000 0.0000  8 Tb 3.28-3.29
2 La 0.0000 0.5000 0.5000  8 Tb 3.41-3.42
3 La 0.5000 0.0000 0.5000  8 Tb 3.41-3.42
4 La 0.5000 0.5000 0.0000  8 Tb 3.41-3.42
5 Tb 0.2423 0.2423 0.7550  4 La 3.29-3.41, 1 Pu 3.48
6 Tb 0.2423 0.7550 0.2423  4 La 3.29-3.41, 1 Pu 3.48
7 Tb 0.2432 0.2432 0.2432  4 La 3.28-3.42, 1 Pu 3.46
8 Tb 0.2450 0.7577 0.7577  4 La 3.29-3.41, 1 Pu 3.48
9 Tb 0.7550 0.2423 0.2423  4 La 3.29-3.41, 1 Pu 3.48
10 Tb 0.7568 0.7568 0.7568  4 La 3.28-3.42, 1 Pu 3.46
11 Tb 0.7577 0.2450 0.7577  4 La 3.29-3.41, 1 Pu 3.48
12 Tb 0.7577 0.7577 0.2450  4 La 3.29-3.41, 1 Pu 3.48
13 Pu 0.5000 0.5000 0.5000  8 Tb 3.46-3.48

***

Record 3
The following is a PBE calculation of a relaxed structure of La3Tb3PuTe8, from Alexandria.

Density   7.13 g/cm3
Formation energy without anion corrections   -1.44 eV/atom

Lattice parameters (Å, degrees): 8.9710 8.9710 8.9710 59.35 59.35 59.35
With the nearest neighbours (Å) after each atom.
Element x y z (fractional)
1 La 0.0000 0.5000 0.5000  6 Te 3.22
2 La 0.5000 0.0000 0.5000  6 Te 3.22
3 La 0.5000 0.5000 0.0000  6 Te 3.22
4 Tb 0.0000 0.0000 0.5000  6 Te 3.10
5 Tb 0.0000 0.5000 0.0000  6 Te 3.10
6 Tb 0.5000 0.0000 0.0000  6 Te 3.10
7 Pu 0.5000 0.5000 0.5000  6 Te 3.20
8 Te 0.2366 0.7537 0.7537  2 Tb 3.10, 1 Pu 3.20, 2 La 3.22
9 Te 0.2452 0.2452 0.2452  3 Tb 3.10, 3 La 3.22
10 Te 0.2463 0.2463 0.7634  2 Tb 3.10, 1 Pu 3.20, 2 La 3.22
11 Te 0.2463 0.7634 0.2463  2 Tb 3.10, 1 Pu 3.20, 2 La 3.22
12 Te 0.7537 0.2366 0.7537  2 Tb 3.10, 1 Pu 3.20, 2 La 3.22
13 Te 0.7537 0.7537 0.2366  2 Tb 3.10, 1 Pu 3.20, 2 La 3.22
14 Te 0.7548 0.7548 0.7548  3 Tb 3.10, 3 La 3.22
15 Te 0.7634 0.2463 0.2463  2 Tb 3.10, 1 Pu 3.20, 2 La 3.22

***

Record 4
The following is a PBE calculation of a relaxed structure of LaTbPu2Te5, from Alexandria.

Density   6.44 g/cm3
Formation energy without anion corrections   -0.76 eV/atom

Lattice parameters (Å, degrees): 5.5546 5.5546 11.8966 90.00 90.00 90.00
With the nearest neighbours (Å) after each atom.
Element x y z (fractional)
1 La 0.0000 0.0000 0.0000  2 Te 2.97
2 Tb 0.0000 0.0000 0.5000  6 Te 2.78-2.98
3 Pu 0.5000 0.5000 0.3300  4 Te 3.44
4 Pu 0.5000 0.5000 0.6700  4 Te 3.44
5 Te 0.0000 0.0000 0.2497  1 La 2.97, 1 Tb 2.98
6 Te 0.0000 0.0000 0.7503  1 La 2.97, 1 Tb 2.98
7 Te 0.0000 0.5000 0.5000  2 Tb 2.78
8 Te 0.5000 0.0000 0.5000  2 Tb 2.78
9 Te 0.5000 0.5000 0.0000  2 Pu 3.93, 4 La 3.93

***

Record 5
The following is a PBE calculation of a relaxed structure of La2Tb3PuTe6, from Alexandria.

Density   7.82 g/cm3
Formation energy without anion corrections   -1.38 eV/atom

Lattice parameters (Å, degrees): 9.9669 9.9669 8.9496 103.28 103.28 25.68
With the nearest neighbours (Å) after each atom.
Element x y z (fractional)
1 La 0.1655 0.1655 0.3325  6 Te 3.21-3.23
2 La 0.8345 0.8345 0.6675  6 Te 3.21-3.23
3 Tb 0.1689 0.1689 0.8360  6 Te 3.08-3.11
4 Tb 0.5000 0.5000 0.5000  6 Te 3.09-3.13
5 Tb 0.8311 0.8311 0.1640  6 Te 3.08-3.11
6 Pu 0.5000 0.5000 0.0000  6 Te 3.15-3.17
7 Te 0.0046 0.0046 0.7496  3 Tb 3.10-3.13, 2 Pu 3.17, 1 La 3.21
8 Te 0.3334 0.3334 0.9262  3 Tb 3.08-3.11, 1 Pu 3.15, 2 La 3.21
9 Te 0.3364 0.3364 0.4075  3 Tb 3.09, 3 La 3.22-3.23
10 Te 0.6636 0.6636 0.5925  3 Tb 3.09, 3 La 3.22-3.23
11 Te 0.6666 0.6666 0.0738  3 Tb 3.08-3.11, 1 Pu 3.15, 2 La 3.21
12 Te 0.9954 0.9954 0.2504  3 Tb 3.10-3.13, 2 Pu 3.17, 1 La 3.21

***

Record 6
The following is a PBE calculation of a relaxed structure of La2TbPu3Te6, from Alexandria.

Density   8.45 g/cm3
Formation energy without anion corrections   -1.30 eV/atom

Lattice parameters (Å, degrees): 10.0255 10.0255 8.9841 103.53 103.53 25.68
With the nearest neighbours (Å) after each atom.
Element x y z (fractional)
1 La 0.1657 0.1657 0.3324  6 Te 3.21-3.22
2 La 0.8343 0.8343 0.6676  6 Te 3.21-3.22
3 Tb 0.5000 0.5000 0.0000  6 Te 3.12-3.14
4 Pu 0.1691 0.1691 0.8344  6 Te 3.12-3.16
5 Pu 0.5000 0.5000 0.5000  6 Te 3.12-3.19
6 Pu 0.8309 0.8309 0.1656  6 Te 3.12-3.16
7 Te 0.0038 0.0038 0.7552  3 Pu 3.14-3.19, 2 Tb 3.14, 1 La 3.22
8 Te 0.3354 0.3354 0.4105  3 Pu 3.12, 3 La 3.21-3.22
9 Te 0.3355 0.3355 0.9254  3 Pu 3.12-3.16, 1 Tb 3.12, 2 La 3.21
10 Te 0.6645 0.6645 0.0746  3 Pu 3.12-3.16, 1 Tb 3.12, 2 La 3.21
11 Te 0.6646 0.6646 0.5895  3 Pu 3.12, 3 La 3.21-3.22
12 Te 0.9962 0.9962 0.2448  3 Pu 3.14-3.19, 2 Tb 3.14, 1 La 3.22

***

Record 7
The following is a PBE calculation of a relaxed structure of La3Tb2PuTe6, from Alexandria.

Density   7.56 g/cm3
Formation energy without anion corrections   -1.43 eV/atom

Lattice parameters (Å, degrees): 10.0449 10.0449 9.0231 103.34 103.34 25.65
With the nearest neighbours (Å) after each atom.
Element x y z (fractional)
1 La 0.0000 0.0000 0.0000  6 Te 3.22-3.26
2 La 0.3345 0.3345 0.6668  6 Te 3.21-3.25
3 La 0.6655 0.6655 0.3332  6 Te 3.21-3.25
4 Tb 0.3353 0.3353 0.1707  6 Te 3.07-3.13
5 Tb 0.6647 0.6647 0.8293  6 Te 3.07-3.13
6 Pu 0.0000 0.0000 0.5000  6 Te 3.13-3.14
7 Te 0.1649 0.1649 0.5916  2 Tb 3.09, 1 Pu 3.14, 3 La 3.23
8 Te 0.1709 0.1709 0.0741  3 Tb 3.12-3.13, 3 La 3.25-3.26
9 Te 0.4968 0.4968 0.2558  1 Tb 3.07, 2 Pu 3.13, 3 La 3.21-3.22
10 Te 0.5032 0.5032 0.7442  1 Tb 3.07, 2 Pu 3.13, 3 La 3.21-3.22
11 Te 0.8291 0.8291 0.9259  3 Tb 3.12-3.13, 3 La 3.25-3.26
12 Te 0.8351 0.8351 0.4084  2 Tb 3.09, 1 Pu 3.14, 3 La 3.23

***

Record 8
The following is a PBE calculation of a relaxed structure of La4Tb3PuTe8, from Alexandria.

Density   7.48 g/cm3
Formation energy without anion corrections   -1.43 eV/atom

Lattice parameters (Å, degrees): 8.9877 8.9877 8.9877 59.72 59.72 59.72
With the nearest neighbours (Å) after each atom.
Element x y z (fractional)
1 La 0.0000 0.0000 0.0000  6 Te 3.22
2 La 0.0000 0.5000 0.5000  6 Te 3.24
3 La 0.5000 0.0000 0.5000  6 Te 3.24
4 La 0.5000 0.5000 0.0000  6 Te 3.24
5 Tb 0.0000 0.0000 0.5000  6 Te 3.11
6 Tb 0.0000 0.5000 0.0000  6 Te 3.11
7 Tb 0.5000 0.0000 0.0000  6 Te 3.11
8 Pu 0.5000 0.5000 0.5000  6 Te 3.12
9 Te 0.2437 0.7462 0.7462  2 Tb 3.11, 1 Pu 3.12, 3 La 3.22-3.24
10 Te 0.2449 0.2449 0.2449  3 Tb 3.11, 3 La 3.24
11 Te 0.2538 0.2538 0.7563  2 Tb 3.11, 1 Pu 3.12, 3 La 3.22-3.24
12 Te 0.2538 0.7563 0.2538  2 Tb 3.11, 1 Pu 3.12, 3 La 3.22-3.24
13 Te 0.7462 0.2437 0.7462  2 Tb 3.11, 1 Pu 3.12, 3 La 3.22-3.24
14 Te 0.7462 0.7462 0.2437  2 Tb 3.11, 1 Pu 3.12, 3 La 3.22-3.24
15 Te 0.7551 0.7551 0.7551  3 Tb 3.11, 3 La 3.24
16 Te 0.7563 0.2538 0.2538  2 Tb 3.11, 1 Pu 3.12, 3 La 3.22-3.24